Hf4P2Se5 after structural relaxation. Source: the Alexandria database, functional GGA-PBE.

## Properties
Uncorrected formation energy in meV/atom: -1134
Space-group type: No. 12
DOS(E_F) in states/eV per atom: 0.212

a = 3.642 Å, b = 7.236 Å, c = 10.369 Å
α = 90.19°, β = 100.12°, γ = 90.00°
Sites, in units of the cell vectors:
Hf1 0.324 0.422 0.648
Hf2 0.020 0.716 0.040
Hf3 0.676 0.578 0.352
Hf4 0.980 0.284 0.960
Se1 0.855 0.173 0.710
Se2 0.199 0.314 0.398
Se3 0.801 0.686 0.602
Se4 0.145 0.827 0.290
Se5 0.500 0.000 0.000
P1 0.556 0.449 0.113
P2 0.444 0.551 0.887